Material: Y3Zn
Method: DFT, PBE-GGA
State: relaxed

a b c (Å): 3.7164 3.7164 9.8208
angles (deg): 90.00 90.00 120.00
Fractional positions:
Y 0.0000 0.0000 0.5367
Zn 0.3333 0.6667 0.7500
Y 0.3333 0.6667 0.2500
Y 0.0000 0.0000 0.9633


Material: YZn
Method: DFT, PBE-GGA
State: relaxed

a b c (Å): 4.9018 4.9018 4.9018
angles (deg): 43.57 43.57 43.57
Fractional positions:
Y 0.0000 0.0000 0.0000
Zn 0.5000 0.5000 0.5000


Material: Y6Zn23
Method: DFT, PBE-GGA
State: relaxed

a b c (Å): 8.9854 8.9854 8.9854
angles (deg): 60.00 60.00 60.00
Fractional positions:
Zn 0.0000 0.5000 0.0000
Zn 0.8766 0.8766 0.3702
Zn 0.0000 0.0000 0.0000
Zn 0.3702 0.8766 0.8766
Y 0.2919 0.2919 0.7081
Zn 0.0000 0.5000 0.5000
Y 0.7081 0.2919 0.7081
Zn 0.3286 0.0143 0.3286
Zn 0.5000 0.5000 0.0000
Y 0.7081 0.2919 0.2919
Zn 0.8766 0.8766 0.8766
Zn 0.1234 0.6298 0.1234
Y 0.7081 0.7081 0.2919
Zn 0.1234 0.1234 0.6298
Zn 0.9857 0.6714 0.6714
Zn 0.0143 0.3286 0.3286
Zn 0.1234 0.1234 0.1234
Zn 0.6714 0.9857 0.6714
Zn 0.6298 0.1234 0.1234
Zn 0.5000 0.0000 0.0000
Zn 0.8766 0.3702 0.8766
Y 0.2919 0.7081 0.2919
Zn 0.3286 0.3286 0.0143
Zn 0.3286 0.3286 0.3286
Zn 0.0000 0.0000 0.5000
Zn 0.6714 0.6714 0.9857
Y 0.2919 0.7081 0.7081
Zn 0.5000 0.0000 0.5000
Zn 0.6714 0.6714 0.6714


Material: Y3Zn
Method: DFT, PBE-GGA
State: relaxed

a b c (Å): 3.7487 5.3548 5.5089
angles (deg): 90.00 90.00 90.00
Fractional positions:
Y 0.0000 0.0000 0.9817
Y 0.5000 0.0000 0.4590
Zn 0.0000 0.5000 0.3537
Y 0.5000 0.5000 0.8722


no.,formation energy (eV/atom),spin magnetization (μB/cell)
1,-0.05,0.0
2,-0.15,0.0
3,-0.31,0.0
4,0.02,0.0